No. 1
# Tb5Dy2Mg5

An optimized crystal structure of Tb5Dy2Mg5 (GGA-PBE, the Alexandria database).

Properties
- Size of the total moment: 0.000 μB/f.u.
- Symmetry: C2/m (12)
- Energy: -0.12475 Ha/atom
- Offset from the most stable computed form: 0.000 eV per atom

Unit cell a=3.6248 b=8.7195 c=11.6823 alpha=71.55 beta=81.08 gamma=78.00
Last column: nearest neighbours and their distance in Å.
Positions (direct):
Tb1 0.5000 0.5000 0.5000  4 Mg 3.43, 4 Dy 3.46, 4 Tb 3.62
Tb2 0.3336 0.3112 0.0215  4 Mg 3.28-3.37, 3 Dy 3.47-3.48, 4 Tb 3.60-3.62
Tb3 0.4452 0.8665 0.2432  6 Mg 3.25-3.43, 2 Dy 3.50, 3 Tb 3.62
Tb4 0.5548 0.1335 0.7568  6 Mg 3.25-3.43, 2 Dy 3.50, 3 Tb 3.62
Tb5 0.6664 0.6888 0.9785  4 Mg 3.28-3.37, 3 Dy 3.47-3.48, 4 Tb 3.60-3.62
Dy1 0.8787 0.4842 0.7584  3 Mg 3.34-3.58, 7 Tb 3.46-3.50, 2 Dy 3.62
Dy2 0.1213 0.5158 0.2416  3 Mg 3.34-3.58, 7 Tb 3.46-3.50, 2 Dy 3.62
Mg1 0.8292 0.8415 0.5001  5 Mg 3.11-3.25, 4 Tb 3.43
Mg2 0.2270 0.8234 0.7226  3 Mg 3.11-3.23, 4 Tb 3.32-3.37, 2 Dy 3.34
Mg3 0.7730 0.1766 0.2774  3 Mg 3.11-3.23, 4 Tb 3.32-3.37, 2 Dy 3.34
Mg4 0.1708 0.1585 0.4999  5 Mg 3.11-3.25, 4 Tb 3.43
Mg5 0.0000 0.0000 0.0000  8 Tb 3.25-3.28, 2 Mg 3.62

***

No. 2
# Tb15Dy2Mg2

An optimized crystal structure of Tb15Dy2Mg2 (GGA-PBE, the Alexandria database).

Properties
- Size of the total moment: 0.000 μB/f.u.
- Symmetry: R-3m (166)
- Energy: -0.14979 Ha/atom

Unit cell a=8.6097 b=8.6097 c=8.6097 alpha=80.78 beta=80.78 gamma=80.78
Last column: nearest neighbours and their distance in Å.
Positions (direct):
Tb1 0.0000 0.5000 0.0000  8 Tb 3.29-3.32, 2 Mg 3.46
Tb2 0.0000 0.0000 0.5000  8 Tb 3.29-3.32, 2 Mg 3.46
Tb3 0.5000 0.0000 0.0000  8 Tb 3.29-3.32, 2 Mg 3.46
Tb4 0.2978 0.0000 0.7022  8 Tb 3.31-3.71, 2 Mg 3.69
Tb5 0.7022 0.2978 0.0000  8 Tb 3.31-3.71, 2 Mg 3.69
Tb6 0.0000 0.7022 0.2978  8 Tb 3.31-3.71, 2 Mg 3.69
Tb7 0.2978 0.7022 0.0000  8 Tb 3.31-3.71, 2 Mg 3.69
Tb8 0.0000 0.2978 0.7022  8 Tb 3.31-3.71, 2 Mg 3.69
Tb9 0.7022 0.0000 0.2978  8 Tb 3.31-3.71, 2 Mg 3.69
Tb10 0.3627 0.8497 0.3627  6 Tb 3.25-3.31
Tb11 0.3627 0.3627 0.8497  6 Tb 3.25-3.31
Tb12 0.8497 0.3627 0.3627  6 Tb 3.25-3.31
Tb13 0.6373 0.1503 0.6373  6 Tb 3.25-3.31
Tb14 0.6373 0.6373 0.1503  6 Tb 3.25-3.31
Tb15 0.1503 0.6373 0.6373  6 Tb 3.25-3.31
Dy1 0.6760 0.6760 0.6760  15 Tb 3.94-4.20, 1 Mg 3.96
Dy2 0.3240 0.3240 0.3240  15 Tb 3.94-4.20, 1 Mg 3.96
Mg1 0.9069 0.9069 0.9069  1 Mg 3.19, 3 Tb 3.46
Mg2 0.0931 0.0931 0.0931  1 Mg 3.19, 3 Tb 3.46

***

No. 3
# TbDy5Mg4

An optimized crystal structure of TbDy5Mg4 (GGA-PBE, the Alexandria database).

Properties
- Size of the total moment: 0.000 μB/f.u.
- Symmetry: P4/mmm (123)
- Energy: -0.12698 Ha/atom

Unit cell a=3.7267 b=3.7267 c=20.2587 alpha=90.00 beta=90.00 gamma=90.00
Last column: nearest neighbours and their distance in Å.
Positions (direct):
Tb1 0.0000 0.0000 0.0000  8 Dy 3.56, 4 Tb 3.73
Dy1 0.5000 0.5000 0.1181  4 Mg 3.28, 4 Tb 3.56
Dy2 0.5000 0.5000 0.3100  8 Mg 3.26-3.27
Dy3 0.5000 0.5000 0.5000  8 Mg 3.27
Dy4 0.5000 0.5000 0.6900  8 Mg 3.26-3.27
Dy5 0.5000 0.5000 0.8819  4 Mg 3.28, 4 Tb 3.56
Mg1 0.0000 0.0000 0.2148  8 Dy 3.27-3.28
Mg2 0.0000 0.0000 0.4046  8 Dy 3.26-3.27
Mg3 0.0000 0.0000 0.5954  8 Dy 3.26-3.27
Mg4 0.0000 0.0000 0.7852  8 Dy 3.27-3.28

***

No. 4
# TbDy3Mg6

An optimized crystal structure of TbDy3Mg6 (GGA-PBE, the Alexandria database).

Properties
- Size of the total moment: 0.017 μB/f.u.
- Symmetry: P2_1/m (11)
- Energy: -0.10533 Ha/atom

Unit cell a=5.2667 b=9.2628 c=11.2497 alpha=105.64 beta=90.00 gamma=90.00
Last column: nearest neighbours and their distance in Å.
Positions (direct):
Tb1 0.2500 0.9488 0.6016  8 Mg 3.20-3.30
Tb2 0.7500 0.0512 0.3984  8 Mg 3.20-3.30
Dy1 0.2500 0.5429 0.3966  8 Mg 3.21-3.36
Dy2 0.7500 0.4571 0.6034  8 Mg 3.21-3.36
Dy3 0.2500 0.3516 0.7959  8 Mg 3.27-3.34
Dy4 0.7500 0.6484 0.2041  8 Mg 3.27-3.34
Dy5 0.2500 0.7500 0.0042  8 Mg 3.21-3.31
Dy6 0.7500 0.2500 0.9958  8 Mg 3.21-3.31
Mg1 0.2500 0.4421 0.1000  1 Mg 3.20, 7 Dy 3.21-3.31
Mg2 0.7500 0.5579 0.9000  1 Mg 3.20, 7 Dy 3.21-3.31
Mg3 0.2500 0.1461 0.1948  8 Mg 3.19-3.22
Mg4 0.7500 0.8539 0.8052  8 Mg 3.19-3.22
Mg5 0.2500 0.6602 0.7067  1 Tb 3.20, 2 Mg 3.21, 5 Dy 3.22-3.36
Mg6 0.7500 0.3398 0.2933  1 Tb 3.20, 2 Mg 3.21, 5 Dy 3.22-3.36
Mg7 0.2500 0.2446 0.4915  3 Tb 3.20-3.30, 1 Mg 3.21, 4 Dy 3.22-3.33
Mg8 0.7500 0.7554 0.5085  3 Tb 3.20-3.30, 1 Mg 3.21, 4 Dy 3.22-3.33
Mg9 0.2500 0.8562 0.3006  4 Dy 3.21-3.36, 3 Tb 3.21-3.26, 1 Mg 3.22
Mg10 0.7500 0.1438 0.6994  4 Dy 3.21-3.36, 3 Tb 3.21-3.26, 1 Mg 3.22
Mg11 0.2500 0.0471 0.9005  3 Mg 3.19-3.20, 1 Tb 3.24, 4 Dy 3.24-3.34
Mg12 0.7500 0.9529 0.0995  3 Mg 3.19-3.20, 1 Tb 3.24, 4 Dy 3.24-3.34

***

No. 5
# Tb7Dy4Mg

An optimized crystal structure of Tb7Dy4Mg (GGA-PBE, the Alexandria database).

Properties
- Size of the total moment: 0.000 μB/f.u.
- Symmetry: C2/m (12)
- Energy: -0.15083 Ha/atom
- Offset from the most stable computed form: 0.170 eV per atom

Unit cell a=5.8058 b=6.6464 c=11.6207 alpha=82.34 beta=75.53 gamma=64.10
Last column: nearest neighbours and their distance in Å.
Positions (direct):
Tb1 0.7976 0.4811 0.9237  1 Mg 2.98, 2 Tb 3.24-3.29
Tb2 0.2024 0.5189 0.0763  1 Mg 2.98, 2 Tb 3.24-3.29
Tb3 0.0928 0.0928 0.7216  1 Mg 3.17, 2 Tb 3.29-3.31
Tb4 0.9072 0.9072 0.2784  1 Mg 3.17, 2 Tb 3.29-3.31
Tb5 0.3660 0.7865 0.4815  2 Tb 3.31-3.44, 5 Dy 3.34-3.67
Tb6 0.5000 0.0000 0.0000  2 Mg 2.90, 2 Tb 3.24
Tb7 0.6340 0.2135 0.5185  2 Tb 3.31-3.44, 5 Dy 3.34-3.67
Dy1 0.6316 0.5086 0.2282  6 Tb 3.34-3.67, 2 Dy 3.47
Dy2 0.3684 0.4914 0.7718  6 Tb 3.34-3.67, 2 Dy 3.47
Dy3 0.8340 0.6942 0.6379  5 Tb 3.35-3.69, 2 Dy 3.47
Dy4 0.1660 0.3058 0.3621  5 Tb 3.35-3.69, 2 Dy 3.47
Mg1 0.0000 0.0000 0.0000  6 Tb 2.90-3.17

***

No. 6
# Tb8Dy6Mg

An optimized crystal structure of Tb8Dy6Mg (GGA-PBE, the Alexandria database).

Properties
- Size of the total moment: 0.000 μB/f.u.
- Symmetry: P-3 (147)
- Energy: -0.15708 Ha/atom

Unit cell a=6.2741 b=9.3746 c=9.3746 alpha=120.00 beta=90.00 gamma=90.00
Last column: nearest neighbours and their distance in Å.
Positions (direct):
Tb1 0.8148 0.0379 0.2688  1 Mg 3.08, 3 Tb 3.31-3.36, 1 Dy 3.34
Tb2 0.8148 0.7312 0.7691  1 Mg 3.08, 3 Tb 3.31-3.36, 1 Dy 3.34
Tb3 0.8148 0.2309 0.9621  1 Mg 3.08, 3 Tb 3.31-3.36, 1 Dy 3.34
Tb4 0.1852 0.9621 0.7312  1 Mg 3.08, 3 Tb 3.31-3.36, 1 Dy 3.34
Tb5 0.1852 0.2688 0.2309  1 Mg 3.08, 3 Tb 3.31-3.36, 1 Dy 3.34
Tb6 0.1852 0.7691 0.0379  1 Mg 3.08, 3 Tb 3.31-3.36, 1 Dy 3.34
Tb7 0.8246 0.3333 0.6667  3 Tb 3.36, 3 Dy 3.68
Tb8 0.1754 0.6667 0.3333  3 Tb 3.36, 3 Dy 3.68
Dy1 0.6821 0.6407 0.0923  1 Dy 3.26, 5 Tb 3.34-3.63
Dy2 0.6821 0.9077 0.5484  1 Dy 3.26, 5 Tb 3.34-3.63
Dy3 0.6821 0.4516 0.3593  1 Dy 3.26, 5 Tb 3.34-3.63
Dy4 0.3179 0.3593 0.9077  1 Dy 3.26, 5 Tb 3.34-3.63
Dy5 0.3179 0.0923 0.4516  1 Dy 3.26, 5 Tb 3.34-3.63
Dy6 0.3179 0.5484 0.6407  1 Dy 3.26, 5 Tb 3.34-3.63
Mg1 0.5000 0.0000 0.0000  6 Tb 3.08

***

No. 7
# Tb5Dy6Mg

An optimized crystal structure of Tb5Dy6Mg (GGA-PBE, the Alexandria database).

Properties
- Size of the total moment: 0.000 μB/f.u.
- Symmetry: Immm (71)
- Energy: -0.15963 Ha/atom

Unit cell a=4.9918 b=9.3259 c=9.3259 alpha=106.57 beta=105.50 gamma=105.50
Last column: nearest neighbours and their distance in Å.
Positions (direct):
Mg1 0.0000 0.0000 0.0000  8 Dy 3.52-3.53, 4 Tb 3.53
Tb1 0.5000 0.1673 0.8327  8 Dy 3.51-3.53, 2 Tb 3.53, 2 Mg 3.53
Tb2 0.0000 0.3345 0.6655  8 Dy 3.51-3.54, 4 Tb 3.51-3.53
Tb3 0.5000 0.5000 0.5000  4 Tb 3.51, 8 Dy 3.53-3.54
Tb4 0.0000 0.6655 0.3345  8 Dy 3.51-3.54, 4 Tb 3.51-3.53
Tb5 0.5000 0.8327 0.1673  8 Dy 3.51-3.53, 2 Tb 3.53, 2 Mg 3.53
Dy1 0.2481 0.0810 0.4151  7 Tb 3.51-3.54, 1 Mg 3.52, 4 Dy 3.52-3.53
Dy2 0.7519 0.5849 0.9190  7 Tb 3.51-3.54, 1 Mg 3.52, 4 Dy 3.52-3.53
Dy3 0.7498 0.2498 0.2498  6 Tb 3.51-3.53, 2 Mg 3.53, 4 Dy 3.53
Dy4 0.2502 0.7502 0.7502  6 Tb 3.51-3.53, 2 Mg 3.53, 4 Dy 3.53
Dy5 0.2481 0.4151 0.0810  7 Tb 3.51-3.54, 1 Mg 3.52, 4 Dy 3.52-3.53
Dy6 0.7519 0.9190 0.5849  7 Tb 3.51-3.54, 1 Mg 3.52, 4 Dy 3.52-3.53

***

No. 8
# Tb12Dy5Mg2

An optimized crystal structure of Tb12Dy5Mg2 (GGA-PBE, the Alexandria database).

Properties
- Size of the total moment: 0.002 μB/f.u.
- Symmetry: C2/m (12)
- Energy: -0.15446 Ha/atom

Unit cell a=9.1481 b=9.0444 c=8.3826 alpha=91.26 beta=90.00 gamma=120.38
Last column: nearest neighbours and their distance in Å.
Positions (direct):
Tb1 0.9177 0.8354 0.1162  5 Tb 3.26-3.56, 3 Dy 3.43-3.54, 2 Mg 3.45
Tb2 0.0342 0.7011 0.7598  1 Mg 3.33, 4 Tb 3.33-3.56, 4 Dy 3.49-3.64
Tb3 0.6669 0.7011 0.7598  1 Mg 3.33, 4 Tb 3.33-3.56, 4 Dy 3.49-3.64
Tb4 0.1802 0.7474 0.3272  4 Dy 3.37-3.70, 5 Tb 3.37-3.56, 1 Mg 3.43
Tb5 0.5671 0.7474 0.3272  4 Dy 3.37-3.70, 5 Tb 3.37-3.56, 1 Mg 3.43
Tb6 0.4422 0.8844 0.6645  2 Mg 3.31, 2 Dy 3.33-3.54, 7 Tb 3.33-3.48
Tb7 0.5578 0.1156 0.3355  2 Mg 3.31, 2 Dy 3.33-3.54, 7 Tb 3.33-3.48
Tb8 0.8198 0.2526 0.6728  4 Dy 3.37-3.70, 5 Tb 3.37-3.56, 1 Mg 3.43
Tb9 0.4329 0.2526 0.6728  4 Dy 3.37-3.70, 5 Tb 3.37-3.56, 1 Mg 3.43
Tb10 0.9658 0.2989 0.2402  1 Mg 3.33, 4 Tb 3.33-3.56, 4 Dy 3.49-3.64
Tb11 0.3331 0.2989 0.2402  1 Mg 3.33, 4 Tb 3.33-3.56, 4 Dy 3.49-3.64
Tb12 0.0823 0.1646 0.8838  5 Tb 3.26-3.56, 3 Dy 3.43-3.54, 2 Mg 3.45
Dy1 0.2330 0.4660 0.5748  8 Tb 3.33-3.54, 2 Dy 3.53-3.67
Dy2 0.2973 0.5947 0.9822  8 Tb 3.44-3.62, 2 Mg 3.51, 1 Dy 3.53
Dy3 0.0000 0.0000 0.5000  10 Tb 3.43-3.70, 2 Dy 3.67
Dy4 0.7027 0.4053 0.0178  8 Tb 3.44-3.62, 2 Mg 3.51, 1 Dy 3.53
Dy5 0.7670 0.5340 0.4252  8 Tb 3.33-3.54, 2 Dy 3.53-3.67
Mg1 0.6677 0.0000 0.0000  1 Mg 3.07, 6 Tb 3.31-3.43
Mg2 0.3323 0.0000 0.0000  1 Mg 3.07, 6 Tb 3.31-3.43